(1)
# PrHo2Al

Crystalline PrHo2Al at its relaxed geometry (PBE, Alexandria).

Output
volume: 120 Å³ per cell

abc: 11.6613 11.6613 11.6613
angles: 17.14 17.14 17.14
Sites, in units of the cell vectors:
Pr: 0.0000 0.0000 0.0000
Ho: 0.1014 0.1014 0.1014
Ho: 0.8986 0.8986 0.8986
Al: 0.5000 0.5000 0.5000

---

(2)
# Pr2HoAl6

Crystalline Pr2HoAl6 at its relaxed geometry (PBE, Alexandria).

Output
volume: 223 Å³ per cell

abc: 8.1046 8.1046 8.1046
angles: 148.00 126.84 63.41
Sites, in units of the cell vectors:
Pr: 0.1249 0.1249 0.0000
Pr: 0.8751 0.8751 0.0000
Ho: 0.5000 0.0000 0.5000
Al: 0.1296 0.3185 0.8110
Al: 0.1959 0.5000 0.6959
Al: 0.4925 0.6815 0.8110
Al: 0.5075 0.3185 0.1890
Al: 0.8041 0.5000 0.3041
Al: 0.8704 0.6815 0.1890

---

Number 1: E above lowest polymorph 25.80 kJ/mol of atoms. Number 2: E above lowest polymorph 27.54 kJ/mol of atoms.